Entry 1:
Pm6PbBr8 PBE optimized geometry; formation energy without anion corrections = -1.361 eV/atom; magnetization = 0.00 μB/f.u.
1.0
3.621 2.090 10.955
-3.621 2.090 10.955
0.000 -4.181 10.955
Pm Pb Br
6 1 8
Direct
0.098 0.447 0.795
0.205 0.902 0.553
0.447 0.795 0.098
0.553 0.205 0.902
0.795 0.098 0.447
0.902 0.553 0.205
0.500 0.500 0.500
0.070 0.712 0.390
0.167 0.167 0.167
0.288 0.610 0.930
0.390 0.070 0.712
0.610 0.930 0.288
0.712 0.390 0.070
0.833 0.833 0.833
0.930 0.288 0.610



Entry 2:
Pm2PbBr PBE optimized geometry; formation energy without anion corrections = -0.875 eV/atom; excess energy over the best structure of this formula in the dataset = 0.00 eV/f.u.; magnetization = 0.00 μB/f.u.
1.0
7.528 -2.227 0.000
7.528 2.227 0.000
-1.592 0.000 7.598
Pm Pb Br
4 2 2
Direct
0.014 0.014 0.275
0.252 0.252 0.716
0.748 0.748 0.284
0.986 0.986 0.725
0.388 0.388 0.448
0.612 0.612 0.552
0.148 0.148 0.034
0.852 0.852 0.966



Entry 3:
PmPbBr PBE optimized geometry; formation energy without anion corrections = -0.976 eV/atom; excess energy over the best structure of this formula in the dataset = 0.00 eV/f.u.; magnetization = 0.00 μB/f.u.
1.0
4.163 0.000 0.000
0.000 4.820 0.000
0.030 2.370 10.916
Pm Pb Br
2 2 2
Direct
0.249 0.415 0.174
0.751 0.585 0.826
0.251 0.050 0.898
0.749 0.950 0.102
0.253 0.679 0.635
0.747 0.321 0.365



Entry 4:
PmPbBr6 PBE optimized geometry; formation energy without anion corrections = -1.166 eV/atom; magnetization = 0.00 μB/f.u.
1.0
3.593 2.074 6.565
-3.593 2.074 6.565
0.000 -4.149 6.565
Pm Pb Br
1 1 6
Direct
0.000 0.000 0.000
0.500 0.500 0.500
0.077 0.418 0.752
0.248 0.923 0.582
0.418 0.752 0.077
0.582 0.248 0.923
0.752 0.077 0.418
0.923 0.582 0.248



Entry 5:
PmPbBr5 PBE optimized geometry; formation energy without anion corrections = -1.442 eV/atom; magnetization = 0.00 μB/f.u.
1.0
8.488 0.000 0.000
0.000 4.371 0.000
-0.800 0.000 13.942
Pm Pb Br
2 2 10
Direct
0.085 0.250 0.149
0.915 0.750 0.851
0.409 0.750 0.361
0.591 0.250 0.639
0.113 0.250 0.794
0.143 0.250 0.361
0.179 0.750 0.015
0.354 0.750 0.572
0.421 0.250 0.179
0.579 0.750 0.821
0.646 0.250 0.428
0.821 0.250 0.985
0.857 0.750 0.639
0.887 0.750 0.206



Entry 6:
Pm4Pb3Br PBE optimized geometry; formation energy without anion corrections = -0.712 eV/atom; magnetization = 0.00 μB/f.u.
1.0
-3.177 3.177 6.361
3.177 -3.177 6.361
3.177 3.177 -6.361
Pm Pb Br
4 3 1
Direct
0.000 0.500 0.500
0.250 0.250 0.000
0.500 0.000 0.500
0.750 0.750 0.000
0.000 0.000 0.000
0.250 0.750 0.500
0.750 0.250 0.500
0.500 0.500 0.000



Entry 7:
Pm3Pb2Br PBE optimized geometry; formation energy without anion corrections = -0.795 eV/atom; magnetization = 0.00 μB/f.u.
1.0
-2.240 3.159 6.770
2.240 -3.159 6.770
2.240 3.159 -6.770
Pm Pb Br
3 2 1
Direct
0.000 0.000 0.000
0.329 0.329 0.000
0.671 0.671 0.000
0.164 0.664 0.500
0.836 0.336 0.500
0.500 0.000 0.500



Entry 8:
PmPrPbBr PBE optimized geometry; formation energy without anion corrections = -0.788 eV/atom; magnetization = 0.00 μB/f.u.
1.0
0.000 3.883 3.883
3.883 0.000 3.883
3.883 3.883 0.000
Pm Pr Pb Br
1 1 1 1
Direct
0.000 0.000 0.000
0.500 0.500 0.500
0.250 0.250 0.250
0.750 0.750 0.750



In the order shown, the computed theoretical density values come out to 5.73 7.52 6.55 4.70 4.83 8.28 8.05 8.13 g/cm³.